*a*
DFT (SCAN) results for a crystal of Zn2CrRu relaxed with PBEsol.

a b c (Å): 4.3959 4.3959 4.6109
angles (deg): 98.11 98.11 35.60
Element x y z (fractional)
Zn 0.0000 0.0000 0.0000
Zn 0.2484 0.2484 0.7855
Cr 0.4991 0.4991 0.4915
Ru 0.7494 0.7494 0.2975

Summary:
**SG**: Cm (8)
**Magnetic moment**: 0.00 Bohr magnetons per cell

=====

*b*
DFT (SCAN) results for a crystal of Zn2CrRu relaxed with PBEsol.

a b c (Å): 2.8451 2.8451 6.4162
angles (deg): 90.00 90.00 90.00
Element x y z (fractional)
Zn 0.0000 0.0000 0.0000
Zn 0.5000 0.5000 0.2612
Cr 0.0000 0.0000 0.5185
Ru 0.5000 0.5000 0.7273

Summary:
**SG**: P4mm (99)
**Magnetic moment**: 0.00 Bohr magnetons per cell

=====

*c*
DFT (SCAN) results for a crystal of Zn2CrRu relaxed with PBEsol.

a b c (Å): 4.7956 4.7956 4.7956
angles (deg): 142.88 128.13 65.50
Element x y z (fractional)
Zn 0.0000 0.0000 0.0000
Zn 0.7534 0.2534 0.5000
Cr 0.2569 0.7569 0.5000
Ru 0.4916 0.4916 0.0000

Summary:
**SG**: Imm2 (44)
**Magnetic moment**: 2.52 Bohr magnetons per cell

=====

Going by the energies, *b* is most stable and the next is 0.061 eV/atom up.

=====

*a*
DFT (SCAN) results for a crystal of ZrCr2Ru relaxed with PBEsol.

a b c (Å): 2.9925 2.9925 6.2684
angles (deg): 90.00 90.00 90.00
Element x y z (fractional)
Zr 0.0000 0.0000 0.0000
Cr 0.0000 0.0000 0.4801
Cr 0.5000 0.5000 0.2778
Ru 0.5000 0.5000 0.7195

Summary:
**SG**: P4mm (99)
**Magnetic moment**: 0.32 Bohr magnetons per cell

=====

*b*
DFT (SCAN) results for a crystal of ZrCr2Ru relaxed with PBEsol.

a b c (Å): 5.0765 5.0765 5.0765
angles (deg): 145.05 130.36 62.14
Element x y z (fractional)
Zr 0.0000 0.0000 0.0000
Cr 0.2539 0.7539 0.5000
Cr 0.7461 0.2461 0.5000
Ru 0.5000 0.5000 0.0000

Summary:
**SG**: Immm (71)
**Magnetic moment**: 0.00 Bohr magnetons per cell

=====

Going by the energies, *a* is most stable and the next is 0.142 eV/atom up.

=====

*a*
DFT (SCAN) results for a crystal of VCr2S4 relaxed with PBEsol.

a b c (Å): 6.2025 6.2025 5.7354
angles (deg): 114.41 114.41 29.96
Element x y z (fractional)
V 0.0000 0.0000 0.0000
Cr 0.2584 0.2584 0.3142
Cr 0.5174 0.5174 0.6300
S 0.1502 0.1502 0.8603
S 0.3646 0.3646 0.7589
S 0.6186 0.6186 0.3399
S 0.8984 0.8984 0.2948

Summary:
**SG**: Cm (8)
**Magnetic moment**: 2.78 Bohr magnetons per cell

=====

*b*
DFT (SCAN) results for a crystal of VCr2S4 relaxed with PBEsol.

a b c (Å): 6.3451 6.3451 5.9546
angles (deg): 117.29 117.29 30.50
Element x y z (fractional)
V 0.0000 0.0000 0.0000
Cr 0.2579 0.2579 0.2771
Cr 0.7421 0.7421 0.7229
S 0.1209 0.1209 0.4490
S 0.3672 0.3672 0.0310
S 0.6328 0.6328 0.9690
S 0.8791 0.8791 0.5510

Summary:
**SG**: C2/m (12)
**Magnetic moment**: 7.00 Bohr magnetons per cell

=====

Going by the energies, *b* is most stable and the next is 0.076 eV/atom up.

=====

*a*
DFT (SCAN) results for a crystal of ScCrSb2 relaxed with PBEsol.

a b c (Å): 4.7057 4.7057 3.7710
angles (deg): 90.00 90.00 90.00
Element x y z (fractional)
Sc 0.0000 0.0000 0.0000
Cr 0.5000 0.5000 0.0000
Sb 0.0000 0.5000 0.5000
Sb 0.5000 0.0000 0.5000

Summary:
**SG**: P4/mmm (123)
**Magnetic moment**: 4.50 Bohr magnetons per cell

=====

*b*
DFT (SCAN) results for a crystal of ScCrSb2 relaxed with PBEsol.

a b c (Å): 4.9616 4.9616 4.9616
angles (deg): 60.00 60.00 60.00
Element x y z (fractional)
Sc 0.0000 0.0000 0.0000
Cr 0.7500 0.7500 0.7500
Sb 0.2500 0.2500 0.2500
Sb 0.5000 0.5000 0.5000

Summary:
**SG**: F-43m (216)
**Magnetic moment**: 4.05 Bohr magnetons per cell

=====

Going by the energies, *a* is most stable and the next is 0.377 eV/atom up.

=====

*a*
DFT (SCAN) results for a crystal of ScCrSb2 relaxed with PBEsol.

a b c (Å): 3.2293 3.2293 7.2382
angles (deg): 90.00 90.00 90.00
Element x y z (fractional)
Sc 0.0000 0.0000 0.0000
Cr 0.0000 0.0000 0.5000
Sb 0.5000 0.5000 0.2841
Sb 0.5000 0.5000 0.7159

Summary:
**SG**: P4/mmm (123)
**Magnetic moment**: 3.02 Bohr magnetons per cell

=====

*b*
DFT (SCAN) results for a crystal of ScCrSb2 relaxed with PBEsol.

a b c (Å): 8.4111 8.4111 8.4111
angles (deg): 140.88 140.88 56.53
Element x y z (fractional)
Sc 0.0000 0.0000 0.0000
Sc 0.7500 0.2500 0.5000
Cr 0.2500 0.7500 0.5000
Cr 0.5000 0.5000 0.0000
Sb 0.1654 0.6250 0.0404
Sb 0.3750 0.4154 0.5404
Sb 0.5846 0.1250 0.9596
Sb 0.8750 0.8346 0.4596

Summary:
**SG**: I-42d (122)
**Magnetic moment**: 5.98 Bohr magnetons per cell

=====

*c*
DFT (SCAN) results for a crystal of ScCrSb2 relaxed with PBEsol.

a b c (Å): 3.4102 3.4102 7.4462
angles (deg): 90.00 90.00 104.72
Element x y z (fractional)
Sc 0.0000 0.0000 0.0000
Cr 0.0000 0.0000 0.5000
Sb 0.5000 0.5000 0.2674
Sb 0.5000 0.5000 0.7326

Summary:
**SG**: Cmmm (65)
**Magnetic moment**: 3.68 Bohr magnetons per cell

=====

Going by the energies, *c* is most stable and the next is 0.195 eV/atom up.

=====

*a*
DFT (SCAN) results for a crystal of Cr2SbSe relaxed with PBEsol.

a b c (Å): 9.3849 9.3849 9.3849
angles (deg): 18.53 18.53 18.53
Element x y z (fractional)
Cr 0.0000 0.0000 0.0000
Cr 0.2704 0.2704 0.2704
Sb 0.5266 0.5266 0.5266
Se 0.7262 0.7262 0.7262

Summary:
**SG**: R3m (160)
**Magnetic moment**: 0.76 Bohr magnetons per cell

=====

*b*
DFT (SCAN) results for a crystal of Cr2SbSe relaxed with PBEsol.

a b c (Å): 7.4427 7.4427 7.4427
angles (deg): 135.64 135.64 64.54
Element x y z (fractional)
Cr 0.0911 0.6250 0.9661
Cr 0.3750 0.3411 0.4661
Cr 0.6589 0.1250 0.0339
Cr 0.8750 0.9089 0.5339
Sb 0.2500 0.7500 0.5000
Sb 0.5000 0.5000 0.0000
Se 0.0000 0.0000 0.0000
Se 0.7500 0.2500 0.5000

Summary:
**SG**: I-42d (122)
**Magnetic moment**: 14.00 Bohr magnetons per cell

=====

Going by the energies, *b* is most stable and the next is 0.266 eV/atom up.

=====

*a*
DFT (SCAN) results for a crystal of SrCrSb2 relaxed with PBEsol.

a b c (Å): 9.5818 9.5818 9.5818
angles (deg): 146.78 146.78 47.68
Element x y z (fractional)
Sr 0.0000 0.0000 0.0000
Sr 0.7500 0.2500 0.5000
Cr 0.2500 0.7500 0.5000
Cr 0.5000 0.5000 0.0000
Sb 0.2621 0.6250 0.1371
Sb 0.3750 0.5121 0.6371
Sb 0.4879 0.1250 0.8629
Sb 0.8750 0.7379 0.3629

Summary:
**SG**: I-42d (122)
**Magnetic moment**: 8.92 Bohr magnetons per cell

=====

*b*
DFT (SCAN) results for a crystal of SrCrSb2 relaxed with PBEsol.

a b c (Å): 3.6258 4.1536 7.0912
angles (deg): 90.00 103.04 90.00
Element x y z (fractional)
Sr 0.0000 0.0000 0.0000
Cr 0.5000 0.0000 0.5000
Sb 0.3148 0.5000 0.7078
Sb 0.6852 0.5000 0.2922

Summary:
**SG**: P2/m (10)
**Magnetic moment**: 3.63 Bohr magnetons per cell

=====

Going by the energies, *b* is most stable and the next is 0.028 eV/atom up.

=====

*a*
DFT (SCAN) results for a crystal of SrCrSb2 relaxed with PBEsol.

a b c (Å): 8.0965 8.0965 8.0965
angles (deg): 154.06 153.11 37.71
Element x y z (fractional)
Sr 0.0000 0.0000 0.0000
Cr 0.2399 0.7399 0.5000
Sb 0.3686 0.3686 0.0000
Sb 0.6750 0.1750 0.5000

Summary:
**SG**: Imm2 (44)
**Magnetic moment**: 2.88 Bohr magnetons per cell

=====

*b*
DFT (SCAN) results for a crystal of SrCrSb2 relaxed with PBEsol.

a b c (Å): 3.7777 3.7777 7.5732
angles (deg): 90.00 90.00 90.00
Element x y z (fractional)
Sr 0.0000 0.0000 0.0000
Cr 0.5000 0.5000 0.3802
Sb 0.0000 0.0000 0.4337
Sb 0.5000 0.5000 0.7383

Summary:
**SG**: P4mm (99)
**Magnetic moment**: 3.36 Bohr magnetons per cell

=====

Going by the energies, *a* is most stable and the next is 0.119 eV/atom up.